No. 1
! Co2PdC (PBEsol, optimized geometry); values from VASP
&SYSTEM
  ibrav = 0, nat = 8, ntyp = 3
/
ATOMIC_SPECIES
Co 58.93 Co.upf
C 12.01 C.upf
Pd 106.42 Pd.upf
CELL_PARAMETERS angstrom
4.647 0.000 0.000
2.323 4.246 0.000
2.323 0.000 4.246
ATOMIC_POSITIONS crystal
Co 0.875 0.598 0.902
Co 0.223 0.902 0.402
Co 0.375 0.402 0.098
C 0.250 0.500 0.500
Pd 0.750 0.500 0.500
Pd 0.000 0.000 0.000
Co 0.527 0.098 0.598
C 0.500 0.000 0.000
! ΔH_f (0 K) ... 312 meV per atom
! Crystal system ... tetragonal
! Symmetry ... I-42d (122)

---

No. 2
! CoPd3C (PBEsol, optimized geometry); values from VASP
&SYSTEM
  ibrav = 0, nat = 5, ntyp = 3
/
ATOMIC_SPECIES
Co 58.93 Co.upf
Pd 106.42 Pd.upf
C 12.01 C.upf
CELL_PARAMETERS angstrom
-1.415 -0.149 -4.189
-3.849 -1.705 1.361
-1.660 4.080 0.416
ATOMIC_POSITIONS crystal
Co 0.000 0.000 0.000
Pd 0.000 0.500 0.000
Pd 0.500 0.000 0.000
C 0.500 0.500 0.500
Pd 0.000 0.000 0.500
! ΔH_f (0 K) ... 2210 meV per atom
! Crystal system ... cubic
! Symmetry ... Pm-3m (221)

---

No. 3
! Pr2Co2SiC (PBEsol, optimized geometry); values from VASP
&SYSTEM
  ibrav = 0, nat = 6, ntyp = 4
/
ATOMIC_SPECIES
C 12.01 C.upf
Pr 140.91 Pr.upf
Co 58.93 Co.upf
Si 28.09 Si.upf
CELL_PARAMETERS angstrom
-1.823 0.458 -3.443
-4.840 -3.045 -0.078
-4.899 2.857 0.739
ATOMIC_POSITIONS crystal
C 0.500 0.500 0.500
Pr 0.191 0.309 0.309
Co 0.500 0.795 0.205
Pr 0.809 0.691 0.691
Si 0.000 0.000 0.000
Co 0.500 0.205 0.795
! Crystal system ... orthorhombic
! E_form (uncorrected) ... -0.48 eV per atom
! Symmetry ... Immm (71)

---

No. 4
! CoPtC3 (PBEsol, optimized geometry); values from VASP
&SYSTEM
  ibrav = 0, nat = 5, ntyp = 3
/
ATOMIC_SPECIES
Pt 195.08 Pt.upf
C 12.01 C.upf
Co 58.93 Co.upf
CELL_PARAMETERS angstrom
-1.607 -2.533 -2.138
2.156 -2.603 1.464
-2.517 -0.613 2.618
ATOMIC_POSITIONS crystal
Pt 0.500 0.500 0.500
C 0.000 0.000 0.500
C 0.500 0.000 0.000
C 0.000 0.500 0.000
Co 0.000 0.000 0.000
! ΔH_f (0 K) ... 2070 meV per atom
! Crystal system ... cubic
! Symmetry ... Pm-3m (221)

---

No. 5
! CoSn2PtC (PBEsol, optimized geometry); values from VASP
&SYSTEM
  ibrav = 0, nat = 5, ntyp = 4
/
ATOMIC_SPECIES
Pt 195.08 Pt.upf
Sn 118.71 Sn.upf
C 12.01 C.upf
Co 58.93 Co.upf
CELL_PARAMETERS angstrom
-3.464 1.679 -2.465
-0.644 -4.218 -1.967
-2.998 -1.143 3.433
ATOMIC_POSITIONS crystal
Pt 0.500 0.000 0.000
Sn 0.000 0.500 0.000
C 0.500 0.500 0.500
Co 0.000 0.000 0.000
Sn 0.000 0.000 0.500
! ΔH_f (0 K) ... 1598 meV per atom
! Crystal system ... tetragonal
! Symmetry ... P4/mmm (123)

---

No. 6
! RbCoC2 (PBEsol, optimized geometry); values from VASP
&SYSTEM
  ibrav = 0, nat = 8, ntyp = 3
/
ATOMIC_SPECIES
C 12.01 C.upf
Co 58.93 Co.upf
Rb 85.47 Rb.upf
CELL_PARAMETERS angstrom
-3.556 -0.302 -4.413
-0.851 -4.960 -2.624
-4.973 -2.681 0.542
ATOMIC_POSITIONS crystal
C 0.625 0.125 0.125
C 0.125 0.625 0.125
Co 0.250 0.250 0.250
Rb 0.500 0.500 0.500
C 0.125 0.125 0.125
C 0.125 0.125 0.625
Rb 0.750 0.750 0.750
Co 0.000 0.000 0.000
! ΔH_f (0 K) ... 760 meV per atom
! Crystal system ... cubic
! Symmetry ... Fd-3m (227)

---

No. 7
! RbCoSbC2 (PBEsol, optimized geometry); values from VASP
&SYSTEM
  ibrav = 0, nat = 5, ntyp = 4
/
ATOMIC_SPECIES
C 12.01 C.upf
Co 58.93 Co.upf
Sb 121.76 Sb.upf
Rb 85.47 Rb.upf
CELL_PARAMETERS angstrom
-2.202 -3.165 -1.260
2.512 -2.522 1.945
-2.886 0.345 4.175
ATOMIC_POSITIONS crystal
C 0.500 0.000 0.000
Co 0.000 0.000 0.000
Sb 0.000 0.000 0.500
Rb 0.500 0.500 0.500
C 0.000 0.500 0.000
! Crystal system ... tetragonal
! E_form (uncorrected) ... 1.84 eV per atom
! Symmetry ... P4/mmm (123)

---

No. 8
! CoReCS2 (PBEsol, optimized geometry); values from VASP
&SYSTEM
  ibrav = 0, nat = 5, ntyp = 4
/
ATOMIC_SPECIES
Re 186.21 Re.upf
C 12.01 C.upf
Co 58.93 Co.upf
S 32.06 S.upf
CELL_PARAMETERS angstrom
-0.065 0.058 3.817
1.538 -4.412 0.093
4.412 1.539 0.052
ATOMIC_POSITIONS crystal
Re 0.000 0.000 0.000
C 0.500 0.000 0.000
Co 0.500 0.500 0.500
S 0.000 0.500 0.000
S 0.000 0.000 0.500
! Crystal system ... tetragonal
! E_form (uncorrected) ... 1.23 eV per atom
! Symmetry ... P4/mmm (123)

---

Calculated total DFT energy (no corrections), -7.457 -4.842 -7.350 -6.656 -4.975 -6.252 -4.681 -6.668 eV/atom (same order as the records).